Here is a geometry-optimized CrBiSe3 structure from Alexandria. Energies are from PBE.

The structure belongs to space group Pm-3m (No. 221); the cell edges are 4.904, 4.904 and 4.904 Å and the angles 90.00°, 90.00° and 90.00°. The asymmetric unit holds Cr at (0.000, 0.000, 0.000), Bi at (0.500, 0.500, 0.500) and Se at (0.000, 0.000, 0.500).

The raw formation energy comes out at 16.1 meV per atom. The volume is 23.59 Å³ per atom. The total magnetic moment comes out at 3.20 μB per formula unit.

---

Here is a geometry-optimized LiLaTaCu2 structure from Alexandria. Energies are from PBE.

The structure belongs to space group P4/mmm (No. 123); the cell edges are 4.975, 4.975 and 5.331 Å and the angles 90.00°, 90.00° and 90.00°. The asymmetric unit holds Li at (0.000, 0.000, 0.000), La at (0.500, 0.500, 0.000), Ta at (0.500, 0.500, 0.500) and Cu at (0.000, 0.500, 0.500).

The volume is 26.39 Å³ per atom. Its formation enthalpy at 0 K is 911 meV per atom. The total magnetic moment comes out at 0.00 μB per formula unit.

---

Here is a geometry-optimized Er3Sb2Pb structure from Alexandria. Energies are from PBE.

The structure belongs to space group C2/c (No. 15); the cell edges are 7.752, 13.139 and 7.385 Å and the angles 90.00°, 109.53° and 90.00°. The asymmetric unit holds Er at (0.240, 0.086, 0.000), Er at (0.250, 0.250, 0.500), Sb at (0.000, 0.084, 0.250), Sb at (0.000, 0.252, 0.750) and Pb at (0.000, 0.420, 0.250).

The raw formation energy comes out at -817.6 meV per atom. The volume is 29.54 Å³ per atom. The total magnetic moment comes out at 0.00 μB per formula unit.

---

Here is a geometry-optimized TeAsPtBr2 structure from Alexandria. Energies are from PBE.

The structure belongs to space group P4/mmm (No. 123); the cell edges are 5.108, 5.108 and 5.002 Å and the angles 90.00°, 90.00° and 90.00°. The asymmetric unit holds Te at (0.000, 0.000, 0.000), As at (0.500, 0.500, 0.000), Pt at (0.500, 0.500, 0.500) and Br at (0.000, 0.500, 0.500).

The raw formation energy comes out at 332.5 meV per atom. The volume is 26.10 Å³ per atom. The total magnetic moment comes out at 0.00 μB per formula unit.

---

Here is a geometry-optimized Cs2Bi2Sb structure from Alexandria. Energies are from PBE.

The structure belongs to space group C2/m (No. 12); the cell edges are 14.429, 5.747 and 13.151 Å and the angles 90.00°, 114.79° and 90.00°. The asymmetric unit holds Cs at (0.115, 0.000, 0.417), Cs at (0.216, 0.500, 0.146), Bi at (0.029, 0.000, 0.904), Bi at (0.098, 0.500, 0.613) and Sb at (0.043, 0.500, 0.804).

The raw formation energy comes out at -301.8 meV per atom. The volume is 49.50 Å³ per atom. The total magnetic moment comes out at 0.00 μB per formula unit.

---

Here is a geometry-optimized Sc5In2Ir2Au structure from Alexandria. Energies are from PBE.

The structure belongs to space group P4/mbm (No. 127); the cell edges are 11.097, 11.097 and 3.435 Å and the angles 90.00°, 90.00° and 90.00°. The asymmetric unit holds Sc at (0.000, 0.500, 0.000), Sc at (0.076, 0.198, 0.000), In at (0.170, 0.670, 0.500), Ir at (0.135, 0.365, 0.500) and Au at (0.000, 0.000, 0.500).

The volume is 21.15 Å³ per atom. Its formation enthalpy at 0 K is -682 meV per atom. The total magnetic moment comes out at 0.00 μB per formula unit.

---

Here is a geometry-optimized PaCoSnS4 structure from Alexandria. Energies are from PBE.

The structure belongs to space group P2_1/m (No. 11); the cell edges are 6.531, 5.650 and 8.071 Å and the angles 90.00°, 106.30° and 90.00°. The asymmetric unit holds Pa at (0.244, 0.250, 0.448), Co at (0.263, 0.750, 0.655), Sn at (0.212, 0.250, 0.958), S at (0.067, 0.750, 0.392), S at (0.075, 0.750, 0.856) and S at (0.483, 0.504, 0.271).

The raw formation energy comes out at -863.0 meV per atom. The volume is 20.42 Å³ per atom. The total magnetic moment comes out at 0.86 μB per formula unit.

---

Here is a geometry-optimized MgAlTc3 structure from Alexandria. Energies are from PBE.

The structure belongs to space group Pm-3m (No. 221); the cell edges are 4.502, 4.502 and 4.502 Å and the angles 90.00°, 90.00° and 90.00°. The asymmetric unit holds Mg at (0.000, 0.000, 0.000), Al at (0.500, 0.500, 0.500) and Tc at (0.000, 0.500, 0.500).

The volume is 18.26 Å³ per atom. Its formation enthalpy at 0 K is 1194 meV per atom. The total magnetic moment comes out at 0.00 μB per formula unit.

---

Here is a geometry-optimized ScSi2Os structure from Alexandria. Energies are from PBE.

The structure belongs to space group Pmmm (No. 47); the cell edges are 3.143, 4.176 and 4.886 Å and the angles 90.00°, 90.00° and 90.00°. The asymmetric unit holds Sc at (0.000, 0.000, 0.000), Si at (0.500, 0.500, 0.247) and Os at (0.500, 0.000, 0.500).

The raw formation energy comes out at -511.6 meV per atom. The volume is 16.03 Å³ per atom. The total magnetic moment comes out at 0.00 μB per formula unit.

---

Here is a geometry-optimized PrNdMgPt structure from Alexandria. Energies are from PBE.

The structure belongs to space group F-43m (No. 216); the cell edges are 7.458, 7.458 and 7.458 Å and the angles 90.00°, 90.00° and 90.00°. The asymmetric unit holds Pr at (0.000, 0.000, 0.000), Nd at (0.000, 0.000, 0.500), Mg at (0.250, 0.250, 0.250) and Pt at (0.250, 0.250, 0.750).

The volume is 25.93 Å³ per atom. Its formation enthalpy at 0 K is -474 meV per atom. The total magnetic moment comes out at 0.00 μB per formula unit.

---

Here is a geometry-optimized LuScGa structure from Alexandria. Energies are from PBE.

The structure belongs to space group P3m1 (No. 156); the cell edges are 4.7732, 4.7732 and 3.5078 Å and the angles 90.00°, 90.00° and 120.00°. The asymmetric unit holds Lu at (0.0000, 0.0000, 0.0000), Sc at (0.6667, 0.3333, 0.5212) and Ga at (0.3333, 0.6667, 0.4150).

The volume is 23.07 Å³ per atom. Its formation enthalpy at 0 K is -304 meV per atom. The total magnetic moment comes out at 0.00 μB per formula unit.

---

Here is a geometry-optimized Sr5AgAu structure from Alexandria. Energies are from PBE.

The structure belongs to space group P2_1/m (No. 11); the cell edges are 8.818, 4.535 and 14.650 Å and the angles 90.00°, 92.66° and 90.00°. The asymmetric unit holds Sr at (0.060, 0.250, 0.172), Sr at (0.144, 0.750, 0.572), Sr at (0.320, 0.750, 0.013), Sr at (0.338, 0.250, 0.777), Sr at (0.367, 0.250, 0.378), Ag at (0.075, 0.750, 0.340) and Au at (0.431, 0.250, 0.153).

The volume is 41.80 Å³ per atom. Its formation enthalpy at 0 K is -312 meV per atom. The total magnetic moment comes out at 0.00 μB per formula unit.

---

Here is a geometry-optimized K4SiS4 structure from Alexandria. Energies are from PBE.

The structure belongs to space group P4_2/nmc (No. 137, origin choice 2); the cell edges are 8.790, 8.790 and 6.798 Å and the angles 90.00°, 90.00° and 90.00°. The asymmetric unit holds K at (0.024, 0.250, 0.098), Si at (0.250, 0.750, 0.250) and S at (0.047, 0.750, 0.428).

The raw formation energy comes out at -1171.8 meV per atom. The volume is 29.18 Å³ per atom. The total magnetic moment comes out at 0.00 μB per formula unit.

---

Here is a geometry-optimized RhW2Cl structure from Alexandria. Energies are from PBE.

The structure belongs to space group Cmmm (No. 65); the cell edges are 2.887, 4.895 and 9.061 Å and the angles 90.00°, 90.00° and 90.00°. The asymmetric unit holds Rh at (0.000, 0.000, 0.000), W at (0.000, 0.500, 0.247) and Cl at (0.000, 0.000, 0.500).

The raw formation energy comes out at 606.8 meV per atom. The volume is 16.00 Å³ per atom. The total magnetic moment comes out at 0.00 μB per formula unit.

---

Here is a geometry-optimized LiPCl2 structure from Alexandria. Energies are from PBE.

The structure belongs to space group F-43m (No. 216); the cell edges are 6.929, 6.929 and 6.929 Å and the angles 90.00°, 90.00° and 90.00°. The asymmetric unit holds Li at (0.000, 0.000, 0.000), P at (0.250, 0.250, 0.750), Cl at (0.000, 0.000, 0.500) and Cl at (0.250, 0.250, 0.250).

The raw formation energy comes out at 245.0 meV per atom. The volume is 20.79 Å³ per atom. The total magnetic moment comes out at 2.01 μB per formula unit.

---

Here is a geometry-optimized La2YEr5Th structure from Alexandria. Energies are from PBE.

The structure belongs to space group I4/mcm (No. 140); the cell edges are 8.676, 8.676 and 15.539 Å and the angles 90.00°, 90.00° and 90.00°. The asymmetric unit holds La at (0.117, 0.383, 0.000), Y at (0.000, 0.500, 0.250), Er at (0.000, 0.000, 0.000), Er at (0.217, 0.283, 0.358) and Th at (0.000, 0.000, 0.250).

The volume is 32.49 Å³ per atom. Its formation enthalpy at 0 K is 284 meV per atom. The total magnetic moment comes out at 0.00 μB per formula unit.

---

Here is a geometry-optimized Pm4Pr3Er5 structure from Alexandria. Energies are from PBE.

The structure belongs to space group P-1 (No. 2); the cell edges are 6.244, 7.208 and 8.835 Å and the angles 89.98°, 89.90° and 89.89°. The asymmetric unit holds Pm at (0.168, 0.000, 0.330), Pm at (0.330, 0.750, 0.668), Pr at (0.331, 0.251, 0.667), Pr at (0.500, 0.500, 0.000), Er at (0.001, 0.750, 0.000), Er at (0.165, 0.500, 0.330) and Er at (0.500, 0.000, 0.000).

The volume is 33.13 Å³ per atom. Its formation enthalpy at 0 K is 18 meV per atom. The total magnetic moment comes out at 0.00 μB per formula unit.

---

Here is a geometry-optimized CeZn2Rh3 structure from Alexandria. Energies are from PBE.

The structure belongs to space group P-3m1 (No. 164); the cell edges are 4.5051, 4.5051 and 11.0510 Å and the angles 90.00°, 90.00° and 120.00°. The asymmetric unit holds Ce at (0.3333, 0.6667, 0.1787), Zn at (0.0000, 0.0000, 0.0000), Zn at (0.0000, 0.0000, 0.5000), Zn at (0.3333, 0.6667, 0.6540), Rh at (0.0000, 0.0000, 0.2683), Rh at (0.3333, 0.6667, 0.4189) and Rh at (0.3333, 0.6667, 0.9242).

The volume is 16.19 Å³ per atom. Its formation enthalpy at 0 K is -570 meV per atom. The total magnetic moment comes out at 0.00 μB per formula unit.

---

Here is a geometry-optimized Sr2NdAg structure from Alexandria. Energies are from PBE.

The structure belongs to space group P4/mmm (No. 123); the cell edges are 3.806, 3.806 and 10.190 Å and the angles 90.00°, 90.00° and 90.00°. The asymmetric unit holds Sr at (0.000, 0.000, 0.203), Nd at (0.500, 0.500, 0.500) and Ag at (0.500, 0.500, 0.000).

The volume is 36.89 Å³ per atom. Its formation enthalpy at 0 K is -22 meV per atom. The total magnetic moment comes out at 0.00 μB per formula unit.

---

Here is a geometry-optimized Mg4ScAl structure from Alexandria. Energies are from PBE.

The structure belongs to space group F-43m (No. 216); the cell edges are 8.143, 8.143 and 8.143 Å and the angles 90.00°, 90.00° and 90.00°. The asymmetric unit holds Mg at (0.125, 0.125, 0.125), Sc at (0.250, 0.250, 0.750) and Al at (0.000, 0.000, 0.500).

The volume is 22.50 Å³ per atom. Its formation enthalpy at 0 K is 142 meV per atom. The total magnetic moment comes out at 0.00 μB per formula unit.